Crystalline CeU6N8 at its relaxed geometry, computed with PBE-GGA.

Computed properties:
* DOS(E_F): 28.19 states/eV per cell
* uncorrected formation energy: -1.162 eV per atom
* DFT total energy: -10.513 eV/atom
* calculated volume: 14.72 A^3/atom

Cell: 6.139 6.139 6.139 Å, 99.41 99.41 99.41°
Fractional positions:
N 0.640 0.640 0.640
N 0.771 0.095 0.631
N 0.095 0.631 0.771
N 0.360 0.360 0.360
N 0.631 0.771 0.095
N 0.905 0.369 0.229
N 0.229 0.905 0.369
N 0.369 0.229 0.905
U 0.880 0.729 0.437
U 0.563 0.120 0.271
U 0.271 0.563 0.120
U 0.729 0.437 0.880
U 0.120 0.271 0.563
U 0.437 0.880 0.729
Ce 0.000 0.000 0.000